1.
Computed, not measured: CsRb2BaCd after structural relaxation at the PBE-GGA level of DFT.

Results
The volume comes out at 381.4 Å³ per cell. As for the uncorrected energy: -1.0763 eV/atom.

Lattice parameters (Å, degrees): 7.4168 7.4168 6.9328 90.00 90.00 90.00
Last column: nearest neighbours and their distance in Å.
Element x y z (fractional)
Cs 0.5000 0.5000 0.5000  8 Rb 5.08, 4 Ba 5.24
Ba 0.0000 0.0000 0.5000  2 Cd 3.47
Rb 0.0000 0.5000 0.0000  2 Cd 3.71
Rb 0.5000 0.0000 0.0000  2 Cd 3.71
Cd 0.0000 0.0000 0.0000  2 Ba 3.47, 4 Rb 3.71

2.
Computed, not measured: KCaRh3 after structural relaxation at the PBE-GGA level of DFT.

Results
The volume comes out at 114.5 Å³ per cell. As for the uncorrected energy: -3.5352 eV/atom.

Lattice parameters (Å, degrees): 4.8561 4.8561 4.8561 90.00 90.00 90.00
Last column: nearest neighbours and their distance in Å.
Element x y z (fractional)
Ca 0.5000 0.5000 0.5000  12 Rh 3.43
Rh 0.0000 0.5000 0.0000  2 K 2.43
Rh 0.0000 0.0000 0.5000  2 K 2.43
Rh 0.5000 0.0000 0.0000  2 K 2.43
K 0.0000 0.0000 0.0000  6 Rh 2.43

3.
Computed, not measured: CdAg2AsAu after structural relaxation at the PBE-GGA level of DFT.

Results
The volume comes out at 131.6 Å³ per cell. As for the uncorrected energy: -2.0685 eV/atom.

Lattice parameters (Å, degrees): 5.1551 4.9502 5.1551 90.00 90.00 90.00
Last column: nearest neighbours and their distance in Å.
Element x y z (fractional)
As 0.0000 0.5000 0.0000  2 Cd 2.48
Au 0.5000 0.5000 0.5000  8 Ag 3.57, 4 As 3.65
Ag 0.0000 0.0000 0.5000  2 Cd 2.58
Ag 0.5000 0.0000 0.0000  2 Cd 2.58
Cd 0.0000 0.0000 0.0000  2 As 2.48, 4 Ag 2.58

4.
Computed, not measured: Hf2BRh6 after structural relaxation at the PBE-GGA level of DFT.

Results
The volume comes out at 142.9 Å³ per cell. As for the uncorrected energy: -8.2115 eV/atom.

Lattice parameters (Å, degrees): 3.1170 6.8739 7.6636 116.65 101.74 90.00
Last column: nearest neighbours and their distance in Å.
Element x y z (fractional)
Hf 0.6408 0.6396 0.2792  8 Rh 2.64-2.87
Hf 0.3592 0.3604 0.7208  8 Rh 2.64-2.87
B 0.0000 0.0000 0.0000  4 Rh 2.10
Rh 0.1704 0.3653 0.3402  1 B 2.64, 3 Hf 2.64-2.87, 5 Rh 2.68-2.75
Rh 0.8296 0.0251 0.6598  1 B 2.64, 3 Hf 2.64-2.87, 5 Rh 2.68-2.75
Rh 0.8296 0.6347 0.6598  1 B 2.64, 3 Hf 2.64-2.87, 5 Rh 2.68-2.75
Rh 0.5000 0.2045 0.0000  2 B 2.10
Rh 0.1704 0.9749 0.3402  1 B 2.64, 3 Hf 2.64-2.87, 5 Rh 2.68-2.75
Rh 0.5000 0.7955 0.0000  2 B 2.10